Arrangement 1

! Rh3Cl, optimized geometry, DFT PBE; values from VASP
! Size of the total moment = 0.00 μB/atom
! SG = C2/m (12)
&SYSTEM
  ibrav = 0, nat = 4, ntyp = 2
/
ATOMIC_SPECIES
Cl 35.45 Cl.upf
Rh 102.91 Rh.upf
ATOMIC_POSITIONS angstrom
Cl 0.000 0.000 0.000
Rh 4.648 1.524 2.470
Rh 6.902 2.263 3.666
Rh 2.394 0.785 1.275
CELL_PARAMETERS angstrom
4.525 -0.004 -0.001
3.644 2.682 -0.001
1.127 0.369 4.942

=====

Arrangement 2

! Rh3Cl, optimized geometry, DFT PBE; values from VASP
! Size of the total moment = 0.00 μB/atom
! SG = I4/mmm (139)
&SYSTEM
  ibrav = 0, nat = 4, ntyp = 2
/
ATOMIC_SPECIES
Cl 35.45 Cl.upf
Rh 102.91 Rh.upf
ATOMIC_POSITIONS angstrom
Cl 0.000 0.000 0.000
Rh 0.309 2.220 1.501
Rh 2.549 2.143 0.000
Rh 2.240 -0.078 1.501
CELL_PARAMETERS angstrom
4.481 -0.155 0.000
0.618 4.441 0.000
-2.549 -2.143 3.002

=====

Which structure is the most stable? The one labeled arrangement 1.

=====

Arrangement 1

! Rh3Cl4, optimized geometry, DFT PBE; values from VASP
! Size of the total moment = 0.09 μB/atom
! SG = Pm-3n (223)
&SYSTEM
  ibrav = 0, nat = 14, ntyp = 2
/
ATOMIC_SPECIES
Rh 102.91 Rh.upf
Cl 35.45 Cl.upf
ATOMIC_POSITIONS angstrom
Rh 4.940 0.000 3.293
Rh 3.293 4.940 0.000
Rh 0.000 3.293 4.940
Rh 0.000 3.293 1.647
Rh 1.647 0.000 3.293
Rh 3.293 1.647 0.000
Cl 4.940 1.647 1.647
Cl 1.647 1.647 4.940
Cl 1.647 4.940 1.647
Cl 4.940 4.940 4.940
Cl 1.647 4.940 4.940
Cl 4.940 4.940 1.647
Cl 1.647 1.647 1.647
Cl 4.940 1.647 4.940
CELL_PARAMETERS angstrom
6.586 0.000 0.000
0.000 6.586 0.000
0.000 0.000 6.586

=====

Arrangement 2

! Rh3Cl4, optimized geometry, DFT PBE; values from VASP
! Size of the total moment = 0.72 μB/atom
! SG = P6/mmm (191)
&SYSTEM
  ibrav = 0, nat = 7, ntyp = 2
/
ATOMIC_SPECIES
Rh 102.91 Rh.upf
Cl 35.45 Cl.upf
ATOMIC_POSITIONS angstrom
Rh -0.485 -2.661 0.768
Rh -2.640 -0.946 0.202
Rh -2.155 1.715 -0.566
Cl -0.033 0.333 1.133
Cl -0.096 0.980 3.336
Cl -3.261 1.169 1.992
Cl -2.148 -1.748 2.881
CELL_PARAMETERS angstrom
-4.311 3.430 -1.132
-0.970 -5.323 1.536
-0.128 1.313 4.468

=====

Which structure is the most stable? The one labeled arrangement 1.

=====

Arrangement 1

! Rh5Cl, optimized geometry, DFT PBE; values from VASP
! Size of the total moment = 0.00 μB/atom
! SG = Cm (8)
&SYSTEM
  ibrav = 0, nat = 6, ntyp = 2
/
ATOMIC_SPECIES
Rh 102.91 Rh.upf
Cl 35.45 Cl.upf
ATOMIC_POSITIONS angstrom
Rh 2.443 -3.616 -0.549
Rh 5.056 -7.095 -1.373
Rh 4.499 -4.513 -2.332
Rh 7.042 -8.132 -2.993
Rh 2.414 -6.738 1.409
Cl 6.974 -5.066 -4.805
CELL_PARAMETERS angstrom
2.600 -2.976 -3.390
4.530 -1.929 -1.691
0.387 -5.772 3.119

=====

Arrangement 2

! Rh5Cl, optimized geometry, DFT PBE; values from VASP
! Size of the total moment = 0.00 μB/atom
! SG = P4/mmm (123)
&SYSTEM
  ibrav = 0, nat = 6, ntyp = 2
/
ATOMIC_SPECIES
Rh 102.91 Rh.upf
Cl 35.45 Cl.upf
ATOMIC_POSITIONS angstrom
Rh 0.000 0.000 9.351
Rh 0.000 0.000 1.936
Rh 1.396 1.396 7.528
Rh 1.396 1.396 3.759
Rh 0.000 0.000 5.643
Cl 1.396 1.396 0.000
CELL_PARAMETERS angstrom
2.792 0.000 0.000
0.000 2.792 0.000
0.000 0.000 11.287

=====

Arrangement 3

! Rh5Cl, optimized geometry, DFT PBE; values from VASP
! Size of the total moment = 0.00 μB/atom
! SG = Amm2 (38)
&SYSTEM
  ibrav = 0, nat = 6, ntyp = 2
/
ATOMIC_SPECIES
Rh 102.91 Rh.upf
Cl 35.45 Cl.upf
ATOMIC_POSITIONS angstrom
Rh -1.707 0.213 2.319
Rh 0.446 2.220 -1.683
Rh 0.712 1.432 2.262
Rh 2.850 3.425 -1.712
Rh -1.347 -0.489 6.092
Cl -3.613 -1.565 5.863
CELL_PARAMETERS angstrom
2.513 4.148 -5.526
-3.741 -1.684 6.101
3.463 1.155 2.442

=====

Which structure is the most stable? The one labeled arrangement 2.

=====

Arrangement 1

! RuRhCl2, optimized geometry, DFT PBE; values from VASP
! Size of the total moment = 0.00 μB/atom
! SG = Pmmm (47)
&SYSTEM
  ibrav = 0, nat = 4, ntyp = 3
/
ATOMIC_SPECIES
Ru 101.07 Ru.upf
Rh 102.91 Rh.upf
Cl 35.45 Cl.upf
ATOMIC_POSITIONS angstrom
Ru -3.025 0.137 1.556
Rh -1.071 2.221 0.381
Cl 0.000 0.000 0.000
Cl -2.939 -0.323 -0.895
CELL_PARAMETERS angstrom
-0.985 1.761 -2.070
-4.892 -2.408 0.280
-1.157 2.681 2.832

=====

Arrangement 2

! RuRhCl2, optimized geometry, DFT PBE; values from VASP
! Size of the total moment = 0.01 μB/atom
! SG = Cmm2 (35)
&SYSTEM
  ibrav = 0, nat = 4, ntyp = 3
/
ATOMIC_SPECIES
Ru 101.07 Ru.upf
Rh 102.91 Rh.upf
Cl 35.45 Cl.upf
ATOMIC_POSITIONS angstrom
Ru 0.672 1.264 7.108
Rh 0.000 0.000 4.842
Cl 0.000 0.000 8.973
Cl 0.672 1.264 2.921
CELL_PARAMETERS angstrom
3.043 0.003 0.000
-1.700 2.525 0.000
0.000 0.000 9.538

=====

Arrangement 3

! RuRhCl2, optimized geometry, DFT PBE; values from VASP
! Size of the total moment = 0.76 μB/atom
! SG = I-4m2 (119)
&SYSTEM
  ibrav = 0, nat = 4, ntyp = 3
/
ATOMIC_SPECIES
Ru 101.07 Ru.upf
Rh 102.91 Rh.upf
Cl 35.45 Cl.upf
ATOMIC_POSITIONS angstrom
Ru -1.007 -0.743 2.959
Rh -1.390 -3.904 3.388
Cl 0.000 0.000 0.000
Cl 0.992 -2.083 2.235
CELL_PARAMETERS angstrom
-3.390 -2.564 4.112
0.609 -5.244 2.665
2.766 4.981 -1.582

=====

Arrangement 4

! RuRhCl2, optimized geometry, DFT PBE; values from VASP
! Size of the total moment = 0.00 μB/atom
! SG = Immm (71)
&SYSTEM
  ibrav = 0, nat = 4, ntyp = 3
/
ATOMIC_SPECIES
Ru 101.07 Ru.upf
Rh 102.91 Rh.upf
Cl 35.45 Cl.upf
ATOMIC_POSITIONS angstrom
Ru -2.170 0.349 -1.280
Rh -1.594 2.992 0.101
Cl -0.081 0.090 -0.138
Cl -1.766 1.956 -3.008
CELL_PARAMETERS angstrom
-1.272 4.689 -1.766
-2.423 -0.597 -4.527
-0.070 -0.752 5.114

=====

Which structure is the most stable? The one labeled arrangement 2.

=====

Arrangement 1

! RuRhCl, optimized geometry, DFT PBE; values from VASP
! Size of the total moment = 0.00 μB/atom
! SG = F-43m (216)
&SYSTEM
  ibrav = 0, nat = 3, ntyp = 3
/
ATOMIC_SPECIES
Cl 35.45 Cl.upf
Rh 102.91 Rh.upf
Ru 101.07 Ru.upf
ATOMIC_POSITIONS angstrom
Cl 0.000 0.000 0.000
Rh 4.190 2.419 1.710
Ru 6.284 3.628 2.566
CELL_PARAMETERS angstrom
4.190 0.000 0.000
2.095 3.628 0.000
2.095 1.209 3.421

=====

Arrangement 2

! RuRhCl, optimized geometry, DFT PBE; values from VASP
! Size of the total moment = 0.00 μB/atom
! SG = P3m1 (156)
&SYSTEM
  ibrav = 0, nat = 3, ntyp = 3
/
ATOMIC_SPECIES
Cl 35.45 Cl.upf
Rh 102.91 Rh.upf
Ru 101.07 Ru.upf
ATOMIC_POSITIONS angstrom
Cl 0.000 0.000 3.331
Rh 1.977 1.142 1.162
Ru 0.000 2.283 2.327
CELL_PARAMETERS angstrom
3.955 0.000 0.000
-1.977 3.425 0.000
0.000 0.000 3.410

=====

Arrangement 3

! RuRhCl, optimized geometry, DFT PBE; values from VASP
! Size of the total moment = 0.00 μB/atom
! SG = P3m1 (156)
&SYSTEM
  ibrav = 0, nat = 3, ntyp = 3
/
ATOMIC_SPECIES
Cl 35.45 Cl.upf
Rh 102.91 Rh.upf
Ru 101.07 Ru.upf
ATOMIC_POSITIONS angstrom
Cl -2.419 4.219 3.596
Rh -0.915 0.352 2.516
Ru -0.321 2.674 3.477
CELL_PARAMETERS angstrom
-1.447 -2.077 1.464
2.677 0.801 0.861
-2.443 4.261 3.632

=====

Arrangement 4

! RuRhCl, optimized geometry, DFT PBE; values from VASP
! Size of the total moment = 0.00 μB/atom
! SG = Fmm2 (42)
&SYSTEM
  ibrav = 0, nat = 3, ntyp = 3
/
ATOMIC_SPECIES
Cl 35.45 Cl.upf
Rh 102.91 Rh.upf
Ru 101.07 Ru.upf
ATOMIC_POSITIONS angstrom
Cl -0.954 2.522 -1.073
Rh -1.382 0.902 -4.911
Ru -1.829 -0.790 -8.918
CELL_PARAMETERS angstrom
-0.242 -0.235 -7.000
-2.037 -2.256 -5.947
-0.944 2.563 -0.977

=====

Which structure is the most stable? The one labeled arrangement 3.

=====

Arrangement 1

! SiRhS2Cl, optimized geometry, DFT PBE; values from VASP
! Size of the total moment = 0.00 μB/atom
! SG = P4/mmm (123)
&SYSTEM
  ibrav = 0, nat = 5, ntyp = 4
/
ATOMIC_SPECIES
S 32.06 S.upf
Rh 102.91 Rh.upf
Si 28.09 Si.upf
Cl 35.45 Cl.upf
ATOMIC_POSITIONS angstrom
S 1.236 -1.942 0.388
S -1.713 -1.278 -0.938
Rh 0.000 0.000 0.000
Si -1.470 -3.432 1.553
Cl -0.993 -0.212 2.103
CELL_PARAMETERS angstrom
-3.426 -2.557 -1.876
2.472 -3.883 0.776
-1.987 -0.424 4.206

=====

Arrangement 2

! SiRhS2Cl, optimized geometry, DFT PBE; values from VASP
! Size of the total moment = 0.00 μB/atom
! SG = P4/mmm (123)
&SYSTEM
  ibrav = 0, nat = 5, ntyp = 4
/
ATOMIC_SPECIES
S 32.06 S.upf
Rh 102.91 Rh.upf
Si 28.09 Si.upf
Cl 35.45 Cl.upf
ATOMIC_POSITIONS angstrom
S -1.634 1.785 -0.097
S -1.642 -1.551 -0.874
Rh -0.631 -0.468 2.017
Si -3.907 -0.234 1.046
Cl 0.000 0.000 0.000
CELL_PARAMETERS angstrom
-3.284 -3.102 -1.747
-1.262 -0.936 4.034
-3.268 3.570 -0.194

=====

Which structure is the most stable? The one labeled arrangement 1.